No. 1
# TaAs2Pb

A geometry-optimized TaAs2Pb structure (PBE, Alexandria via LeMat-Bulk).

## Properties
**Crystal system**: monoclinic
**Calculated total energy**: -24.385 eV per formula unit
**Calculated volume**: 22.05 Å³ per atom
**Magnetization**: 0.0 μB per cell

a = 4.811 Å, b = 4.811 Å, c = 5.828 Å
α = 99.24°, β = 99.24°, γ = 41.59°
Positions (direct):
Ta: 0.000 0.000 0.000
As: 0.278 0.278 0.832
As: 0.722 0.722 0.168
Pb: 0.500 0.500 0.500


No. 2
# TaAs2Pb

A geometry-optimized TaAs2Pb structure (PBE, Alexandria via LeMat-Bulk).

## Properties
**Crystal system**: tetragonal
**Calculated total energy**: -22.856 eV per formula unit
**Calculated volume**: 20.73 Å³ per atom
**Magnetization**: 0.0 μB per cell

a = 5.713 Å, b = 5.713 Å, c = 5.713 Å
α = 137.89°, β = 137.89°, γ = 61.08°
Positions (direct):
Ta: 0.000 0.000 0.000
As: 0.250 0.750 0.500
As: 0.500 0.500 0.000
Pb: 0.750 0.250 0.500


No. 3
# TaAs4Pb

A geometry-optimized TaAs4Pb structure (PBE, Alexandria via LeMat-Bulk).

## Properties
**Crystal system**: cubic
**Calculated total energy**: -30.486 eV per formula unit
**Calculated volume**: 20.63 Å³ per atom
**Magnetization**: 0.0 μB per cell

a = 5.594 Å, b = 5.594 Å, c = 5.594 Å
α = 60.00°, β = 60.00°, γ = 60.00°
Positions (direct):
Ta: 0.000 0.000 0.000
As: 0.119 0.627 0.627
As: 0.627 0.119 0.627
As: 0.627 0.627 0.119
As: 0.627 0.627 0.627
Pb: 0.250 0.250 0.250


No. 4
# TaAs2Pb

A geometry-optimized TaAs2Pb structure (PBE, Alexandria via LeMat-Bulk).

## Properties
**Crystal system**: orthorhombic
**Calculated total energy**: -24.825 eV per formula unit
**Calculated volume**: 22.57 Å³ per atom
**Magnetization**: 0.0 μB per cell

a = 3.118 Å, b = 3.118 Å, c = 9.704 Å
α = 90.00°, β = 90.00°, γ = 106.86°
Positions (direct):
Ta: 0.000 0.000 0.000
As: 0.500 0.500 0.193
As: 0.500 0.500 0.807
Pb: 0.000 0.000 0.500


No. 5
# TaAsPb

A geometry-optimized TaAsPb structure (PBE, Alexandria via LeMat-Bulk).

## Properties
**Crystal system**: cubic
**Calculated total energy**: -17.971 eV per formula unit
**Calculated volume**: 23.59 Å³ per atom
**Energy relative to the lowest polymorph listed for this composition**: 0.711 eV/atom
**Magnetization**: 0.0 μB per cell

a = 4.643 Å, b = 4.643 Å, c = 4.643 Å
α = 60.00°, β = 60.00°, γ = 60.00°
Positions (direct):
Ta: 0.000 0.000 0.000
As: 0.250 0.250 0.250
Pb: 0.500 0.500 0.500


No. 6
# TaAs2Pb

A geometry-optimized TaAs2Pb structure (PBE, Alexandria via LeMat-Bulk).

## Properties
**Crystal system**: orthorhombic
**Calculated total energy**: -25.029 eV per formula unit
**Calculated volume**: 22.99 Å³ per atom
**Magnetization**: 0.0 μB per cell

a = 7.685 Å, b = 7.685 Å, c = 7.685 Å
α = 154.29°, β = 152.11°, γ = 38.30°
Positions (direct):
Ta: 0.000 0.000 0.000
As: 0.133 0.633 0.500
As: 0.434 0.434 0.000
Pb: 0.754 0.254 0.500


No. 7
# TaAs2Pb

A geometry-optimized TaAs2Pb structure (PBE, Alexandria via LeMat-Bulk).

## Properties
**Crystal system**: tetragonal
**Calculated total energy**: -24.399 eV per formula unit
**Calculated volume**: 21.89 Å³ per atom
**Magnetization**: 0.0 μB per cell

a = 3.433 Å, b = 3.433 Å, c = 7.427 Å
α = 90.00°, β = 90.00°, γ = 90.00°
Positions (direct):
Ta: 0.000 0.000 0.000
As: 0.000 0.000 0.369
As: 0.500 0.500 0.129
Pb: 0.500 0.500 0.694


No. 8
# TaAs2Pb

A geometry-optimized TaAs2Pb structure (PBE, Alexandria via LeMat-Bulk).

## Properties
**Crystal system**: tetragonal
**Calculated total energy**: -24.076 eV per formula unit
**Calculated volume**: 30.74 Å³ per atom
**Magnetization**: 1.6 μB per cell

a = 7.593 Å, b = 7.593 Å, c = 7.593 Å
α = 130.71°, β = 130.71°, γ = 72.28°
Positions (direct):
Ta: 0.000 0.000 0.000
Ta: 0.750 0.250 0.500
As: 0.059 0.625 0.934
As: 0.375 0.309 0.434
As: 0.691 0.125 0.066
As: 0.875 0.941 0.566
Pb: 0.250 0.750 0.500
Pb: 0.500 0.500 0.000


Repeat the third record exactly.
# TaAs4Pb

A geometry-optimized TaAs4Pb structure (PBE, Alexandria via LeMat-Bulk).

## Properties
**Crystal system**: cubic
**Calculated total energy**: -30.486 eV per formula unit
**Calculated volume**: 20.63 Å³ per atom
**Magnetization**: 0.0 μB per cell

a = 5.594 Å, b = 5.594 Å, c = 5.594 Å
α = 60.00°, β = 60.00°, γ = 60.00°
Positions (direct):
Ta: 0.000 0.000 0.000
As: 0.119 0.627 0.627
As: 0.627 0.119 0.627
As: 0.627 0.627 0.119
As: 0.627 0.627 0.627
Pb: 0.250 0.250 0.250


Q: Look up the magnetization of the fourth one.
A: 0.0 μB per cell


Q: Among the records above, which one has the lowest calculated total energy?
A: TaAs4Pb


Copy entry 3 word for word.
# TaAs4Pb

A geometry-optimized TaAs4Pb structure (PBE, Alexandria via LeMat-Bulk).

## Properties
**Crystal system**: cubic
**Calculated total energy**: -30.486 eV per formula unit
**Calculated volume**: 20.63 Å³ per atom
**Magnetization**: 0.0 μB per cell

a = 5.594 Å, b = 5.594 Å, c = 5.594 Å
α = 60.00°, β = 60.00°, γ = 60.00°
Positions (direct):
Ta: 0.000 0.000 0.000
As: 0.119 0.627 0.627
As: 0.627 0.119 0.627
As: 0.627 0.627 0.119
As: 0.627 0.627 0.627
Pb: 0.250 0.250 0.250